A relaxed structure of MnB2P3H10N2ClO13, computed with PBE with a Hubbard U.

Lattice parameters (Å, degrees): 9.0796 8.6649 18.7487 90.00 117.11 90.00
Last column: nearest neighbours and their distance in Å.
Space group P2_1/c (No. 14)
Asymmetric unit:
Mn 0.0281 0.1785 0.1298 [4 per cell]  5 O 2.14-2.30
B 0.3378 0.5375 0.6730 [4 per cell]  4 O 1.45-1.49
B 0.4428 0.1752 0.5618 [4 per cell]  4 O 1.46-1.50
P 0.2194 0.0748 0.0177 [4 per cell]  4 O 1.52-1.59
P 0.2718 0.5385 0.9374 [4 per cell]  4 O 1.51-1.58
P 0.4379 0.2317 0.7085 [4 per cell]  4 O 1.51-1.57
H 0.0616 0.6996 0.0506 [4 per cell]  1 N 1.05
H 0.0701 0.5381 0.1044 [4 per cell]  1 N 1.04
H 0.1509 0.1087 0.3284 [4 per cell]  1 O 1.03
H 0.1636 0.5990 0.7113 [4 per cell]  1 O 0.98
H 0.2021 0.5570 0.0649 [4 per cell]  1 N 1.04
H 0.2267 0.6690 0.1420 [4 per cell]  1 N 1.03
H 0.2655 0.0436 0.8857 [4 per cell]  1 N 1.05
H 0.2879 0.0885 0.8009 [4 per cell]  1 N 1.03
H 0.3486 0.2121 0.8774 [4 per cell]  1 N 1.03
H 0.4556 0.0490 0.8879 [4 per cell]  1 N 1.03
N 0.1396 0.6166 0.0907 [4 per cell]  4 H 1.03-1.05
N 0.3391 0.0966 0.8625 [4 per cell]  4 H 1.03-1.05
Cl 0.0518 0.6911 0.2529 [4 per cell]  1 H 1.91
O 0.0935 0.1766 0.0282 [4 per cell]  1 P 1.53
O 0.1052 0.6103 0.9150 [4 per cell]  1 P 1.51
O 0.1613 0.5078 0.4379 [4 per cell]  1 P 1.52, 1 H 1.70
O 0.1945 0.5136 0.6865 [4 per cell]  1 H 0.98
O 0.2664 0.0822 0.3733 [4 per cell]  1 H 1.03
O 0.2687 0.1831 0.6972 [4 per cell]  1 P 1.51
O 0.2919 0.5521 0.5860 [4 per cell]  1 B 1.49, 1 P 1.59
O 0.3220 0.0481 0.5189 [4 per cell]  1 B 1.50, 1 P 1.57
O 0.3761 0.1737 0.0285 [4 per cell]  1 B 1.46, 1 P 1.59
O 0.4072 0.6589 0.9503 [4 per cell]  1 B 1.49, 1 P 1.54
O 0.4193 0.6868 0.7072 [4 per cell]  1 B 1.48, 1 P 1.57
O 0.4602 0.0896 0.2078 [4 per cell]  1 B 1.49, 1 P 1.56
O 0.4878 0.1569 0.6469 [4 per cell]  1 B 1.47, 1 P 1.56

* E: -6.367 eV per atom
* calculated density: 2.3 g cm⁻³
* crystal system: monoclinic